NiSnN2O | Alexandria | PBE with a Hubbard U | optimized geometry; N(E_F) = 3.59 states/eV per cell; VASP energy = -4.71 eV per atom
1.0
3.781 0.000 0.000
0.000 3.781 0.000
0.000 0.000 3.700
Ni Sn N O
1 1 2 1
Cartesian
0.000 0.000 0.000
1.891 1.891 1.850
0.000 1.891 0.000
1.891 0.000 0.000
0.000 0.000 1.850